First-principles (GGA-PBE) data for crystalline CoOs2 at its relaxed geometry, as listed in the Open Quantum Materials Database.

```
CoOs2
1.0
5.600 0.000 0.000
0.000 5.600 0.000
0.000 0.000 5.600
Co Os
4 8
Direct
0.000 0.000 0.000
0.000 0.500 0.500
0.500 0.000 0.500
0.500 0.500 0.000
0.250 0.250 0.250
0.250 0.250 0.750
0.250 0.750 0.250
0.250 0.750 0.750
0.750 0.250 0.250
0.750 0.250 0.750
0.750 0.750 0.250
0.750 0.750 0.750
```

Results
Energy relative to the lowest polymorph listed for this composition in meV/atom: 0
Mass density in g/cm3: 16.62
Calculated total energy in eV per atom: -9.016
Total magnetization in μB per formula unit: 1.6
Energy of formation from the pure elements in eV per atom: 0.84